i | Compound: YTeI2
Source: Alexandria
Functional: PBE-GGA
Structure: optimized geometry

Computed properties:
symmetry	I-42d

Geometry as CIF:
```
data_YTeI2
_chemical_formula_sum 'Y2 Te2 I4'
_symmetry_space_group_name_H-M 'P 1'
_symmetry_Int_Tables_number 1
_symmetry_space_group_name_Hall 'P 1'
_cell_length_a 10.9984
_cell_length_b 10.9984
_cell_length_c 8.3320
_cell_angle_alpha 48.70
_cell_angle_beta 48.70
_cell_angle_gamma 90.00
loop_
_atom_site_label
_atom_site_fract_x
_atom_site_fract_y
_atom_site_fract_z
I1 0.4814 0.1250 0.2500
I2 0.2686 0.6250 0.2500
I3 0.3750 0.5186 0.7500
I4 0.8750 0.7314 0.7500
Y1 0.5000 0.5000 0.0000
Y2 0.2500 0.7500 0.5000
Te1 0.0000 0.0000 0.0000
Te2 0.7500 0.2500 0.5000
```

***

ii | Compound: YTeI2
Source: Alexandria
Functional: PBE-GGA
Structure: optimized geometry

Computed properties:
symmetry	Fm-3m

Geometry as CIF:
```
data_YTeI2
_chemical_formula_sum 'Y1 Te1 I2'
_symmetry_space_group_name_H-M 'P 1'
_symmetry_Int_Tables_number 1
_symmetry_space_group_name_Hall 'P 1'
_cell_length_a 5.5802
_cell_length_b 5.5802
_cell_length_c 5.5802
_cell_angle_alpha 60.00
_cell_angle_beta 60.00
_cell_angle_gamma 60.00
loop_
_atom_site_label
_atom_site_fract_x
_atom_site_fract_y
_atom_site_fract_z
I1 0.2500 0.2500 0.2500
I2 0.7500 0.7500 0.7500
Y1 0.0000 0.0000 0.0000
Te1 0.5000 0.5000 0.5000
```

***

Energetically preferred structure: i | next structure: +397 meV/atom

***

i | Compound: YTeI3
Source: Alexandria
Functional: PBE-GGA
Structure: optimized geometry

Computed properties:
symmetry	Pm-3m

Geometry as CIF:
```
data_YTeI3
_chemical_formula_sum 'Y1 Te1 I3'
_symmetry_space_group_name_H-M 'P 1'
_symmetry_Int_Tables_number 1
_symmetry_space_group_name_Hall 'P 1'
_cell_length_a 6.0285
_cell_length_b 6.0285
_cell_length_c 6.0285
_cell_angle_alpha 90.00
_cell_angle_beta 90.00
_cell_angle_gamma 90.00
loop_
_atom_site_label
_atom_site_fract_x
_atom_site_fract_y
_atom_site_fract_z
I1 0.0000 0.5000 0.0000
I2 0.0000 0.0000 0.5000
I3 0.5000 0.0000 0.0000
Y1 0.0000 0.0000 0.0000
Te1 0.5000 0.5000 0.5000
```

***

ii | Compound: YTeI3
Source: Alexandria
Functional: PBE-GGA
Structure: optimized geometry

Computed properties:
symmetry	Pm-3m

Geometry as CIF:
```
data_YTeI3
_chemical_formula_sum 'Y1 Te1 I3'
_symmetry_space_group_name_H-M 'P 1'
_symmetry_Int_Tables_number 1
_symmetry_space_group_name_Hall 'P 1'
_cell_length_a 6.0849
_cell_length_b 6.0849
_cell_length_c 6.0849
_cell_angle_alpha 90.00
_cell_angle_beta 90.00
_cell_angle_gamma 90.00
loop_
_atom_site_label
_atom_site_fract_x
_atom_site_fract_y
_atom_site_fract_z
I1 0.0000 0.5000 0.0000
I2 0.0000 0.0000 0.5000
I3 0.5000 0.0000 0.0000
Y1 0.5000 0.5000 0.5000
Te1 0.0000 0.0000 0.0000
```

***

Energetically preferred structure: i | next structure: +821 meV/atom

***

i | Compound: ZnTe2I
Source: Alexandria
Functional: PBE-GGA
Structure: optimized geometry

Computed properties:
symmetry	R-3m

Geometry as CIF:
```
data_ZnTe2I
_chemical_formula_sum 'Zn1 Te2 I1'
_symmetry_space_group_name_H-M 'P 1'
_symmetry_Int_Tables_number 1
_symmetry_space_group_name_Hall 'P 1'
_cell_length_a 9.2114
_cell_length_b 9.2114
_cell_length_c 9.2114
_cell_angle_alpha 26.26
_cell_angle_beta 26.26
_cell_angle_gamma 26.26
loop_
_atom_site_label
_atom_site_fract_x
_atom_site_fract_y
_atom_site_fract_z
I1 0.0000 0.0000 0.0000
Zn1 0.5000 0.5000 0.5000
Te1 0.8887 0.8887 0.8887
Te2 0.1113 0.1113 0.1113
```

***

ii | Compound: ZnTe2I
Source: Alexandria
Functional: PBE-GGA
Structure: optimized geometry

Computed properties:
symmetry	Fm-3m

Geometry as CIF:
```
data_ZnTe2I
_chemical_formula_sum 'Zn1 Te2 I1'
_symmetry_space_group_name_H-M 'P 1'
_symmetry_Int_Tables_number 1
_symmetry_space_group_name_Hall 'P 1'
_cell_length_a 5.3814
_cell_length_b 5.3814
_cell_length_c 5.3814
_cell_angle_alpha 60.00
_cell_angle_beta 60.00
_cell_angle_gamma 60.00
loop_
_atom_site_label
_atom_site_fract_x
_atom_site_fract_y
_atom_site_fract_z
I1 0.5000 0.5000 0.5000
Zn1 0.0000 0.0000 0.0000
Te1 0.2500 0.2500 0.2500
Te2 0.7500 0.7500 0.7500
```

***

iii | Compound: ZnTe2I
Source: Alexandria
Functional: PBE-GGA
Structure: optimized geometry

Computed properties:
symmetry	I-42d

Geometry as CIF:
```
data_ZnTe2I
_chemical_formula_sum 'Zn2 Te4 I2'
_symmetry_space_group_name_H-M 'P 1'
_symmetry_Int_Tables_number 1
_symmetry_space_group_name_Hall 'P 1'
_cell_length_a 7.5429
_cell_length_b 7.5429
_cell_length_c 7.3364
_cell_angle_alpha 59.06
_cell_angle_beta 59.06
_cell_angle_gamma 90.00
loop_
_atom_site_label
_atom_site_fract_x
_atom_site_fract_y
_atom_site_fract_z
I1 0.0000 0.0000 0.0000
I2 0.7500 0.2500 0.5000
Zn1 0.5000 0.5000 0.0000
Zn2 0.2500 0.7500 0.5000
Te1 0.5570 0.1250 0.2500
Te2 0.1930 0.6250 0.2500
Te3 0.3750 0.4430 0.7500
Te4 0.8750 0.8070 0.7500
```

***

Energetically preferred structure: i | next structure: +191 meV/atom